VASP calculation (PBE) on a relaxed structure of Ca2HoPd3.

```
data_Ca2HoPd3
_chemical_formula_sum 'Ca4 Ho2 Pd6'
_symmetry_space_group_name_H-M 'P 1'
_symmetry_Int_Tables_number 1
_cell_length_a 7.4999
_cell_length_b 7.4999
_cell_length_c 7.8756
_cell_angle_alpha 90.00
_cell_angle_beta 90.00
_cell_angle_gamma 143.37
loop_
_symmetry_equiv_pos_as_xyz
'x,y,z'
loop_
_atom_site_label
_atom_site_type_symbol
_atom_site_fract_x
_atom_site_fract_y
_atom_site_fract_z
_atom_site_occupancy
Ho1 Ho 0.6638 0.3362 0.0000 1
Pd1 Pd 0.5000 0.5000 0.2428 1
Pd2 Pd 0.8271 0.1729 0.7718 1
Ca1 Ca 0.0000 0.0000 0.0000 1
Pd3 Pd 0.1729 0.8271 0.2282 1
Ca2 Ca 0.3330 0.6670 0.5000 1
Pd4 Pd 0.8271 0.1729 0.2282 1
Ho2 Ho 0.3362 0.6638 0.0000 1
Ca3 Ca 0.6670 0.3330 0.5000 1
Pd5 Pd 0.5000 0.5000 0.7572 1
Pd6 Pd 0.1729 0.8271 0.7718 1
Ca4 Ca 0.0000 0.0000 0.5000 1
```

Values from the calculation:
* DFT total energy: -0.174 hartree per atom



VASP calculation (PBE) on a relaxed structure of CaHoPd2.

```
data_CaHoPd2
_chemical_formula_sum 'Ca1 Ho1 Pd2'
_symmetry_space_group_name_H-M 'P 1'
_symmetry_Int_Tables_number 1
_cell_length_a 4.9462
_cell_length_b 4.9462
_cell_length_c 4.9462
_cell_angle_alpha 60.00
_cell_angle_beta 60.00
_cell_angle_gamma 60.00
loop_
_symmetry_equiv_pos_as_xyz
'x,y,z'
loop_
_atom_site_label
_atom_site_type_symbol
_atom_site_fract_x
_atom_site_fract_y
_atom_site_fract_z
_atom_site_occupancy
Pd1 Pd 0.2500 0.2500 0.2500 1
Ca1 Ca 0.5000 0.5000 0.5000 1
Pd2 Pd 0.7500 0.7500 0.7500 1
Ho1 Ho 0.0000 0.0000 0.0000 1
```

Values from the calculation:
* polymorph energy (0 for the lowest one): 55.0 meV/atom



VASP calculation (PBE) on a relaxed structure of CaHoPd.

```
data_CaHoPd
_chemical_formula_sum 'Ca1 Ho1 Pd1'
_symmetry_space_group_name_H-M 'P 1'
_symmetry_Int_Tables_number 1
_cell_length_a 4.9109
_cell_length_b 4.9109
_cell_length_c 4.9109
_cell_angle_alpha 60.00
_cell_angle_beta 60.00
_cell_angle_gamma 60.00
loop_
_symmetry_equiv_pos_as_xyz
'x,y,z'
loop_
_atom_site_label
_atom_site_type_symbol
_atom_site_fract_x
_atom_site_fract_y
_atom_site_fract_z
_atom_site_occupancy
Pd1 Pd 0.2500 0.2500 0.2500 1
Ca1 Ca 0.0000 0.0000 0.0000 1
Ho1 Ho 0.5000 0.5000 0.5000 1
```

Values from the calculation:
* polymorph energy (0 for the lowest one): 83.0 meV/atom



VASP calculation (PBE) on a relaxed structure of CaHoPdRh.

```
data_CaHoPdRh
_chemical_formula_sum 'Ca1 Ho1 Pd1 Rh1'
_symmetry_space_group_name_H-M 'P 1'
_symmetry_Int_Tables_number 1
_cell_length_a 4.8851
_cell_length_b 4.8851
_cell_length_c 4.8851
_cell_angle_alpha 60.00
_cell_angle_beta 60.00
_cell_angle_gamma 60.00
loop_
_symmetry_equiv_pos_as_xyz
'x,y,z'
loop_
_atom_site_label
_atom_site_type_symbol
_atom_site_fract_x
_atom_site_fract_y
_atom_site_fract_z
_atom_site_occupancy
Ho1 Ho 0.2500 0.2500 0.2500 1
Pd1 Pd 0.0000 0.0000 0.0000 1
Rh1 Rh 0.5000 0.5000 0.5000 1
Ca1 Ca 0.7500 0.7500 0.7500 1
```

Values from the calculation:
* DFT total energy: -0.202 hartree per atom



VASP calculation (PBE) on a relaxed structure of CaHoSi2Pd5.

```
data_CaHoSi2Pd5
_chemical_formula_sum 'Ca1 Ho1 Si2 Pd5'
_symmetry_space_group_name_H-M 'P 1'
_symmetry_Int_Tables_number 1
_cell_length_a 4.1921
_cell_length_b 4.1921
_cell_length_c 8.9079
_cell_angle_alpha 90.00
_cell_angle_beta 90.00
_cell_angle_gamma 90.00
loop_
_symmetry_equiv_pos_as_xyz
'x,y,z'
loop_
_atom_site_label
_atom_site_type_symbol
_atom_site_fract_x
_atom_site_fract_y
_atom_site_fract_z
_atom_site_occupancy
Pd1 Pd 0.0000 0.5000 0.2634 1
Ca1 Ca 0.0000 0.0000 0.5000 1
Ho1 Ho 0.0000 0.0000 0.0000 1
Pd2 Pd 0.5000 0.5000 0.5000 1
Pd3 Pd 0.5000 0.0000 0.7366 1
Si1 Si 0.5000 0.5000 0.1321 1
Pd4 Pd 0.0000 0.5000 0.7366 1
Si2 Si 0.5000 0.5000 0.8679 1
Pd5 Pd 0.5000 0.0000 0.2634 1
```

Values from the calculation:
* formation energy without anion corrections: -826.9 meV per atom



VASP calculation (PBE) on a relaxed structure of CaHoSnPd.

```
data_CaHoSnPd
_chemical_formula_sum 'Ca1 Ho1 Sn1 Pd1'
_symmetry_space_group_name_H-M 'P 1'
_symmetry_Int_Tables_number 1
_cell_length_a 5.1624
_cell_length_b 5.1624
_cell_length_c 5.1624
_cell_angle_alpha 60.00
_cell_angle_beta 60.00
_cell_angle_gamma 60.00
loop_
_symmetry_equiv_pos_as_xyz
'x,y,z'
loop_
_atom_site_label
_atom_site_type_symbol
_atom_site_fract_x
_atom_site_fract_y
_atom_site_fract_z
_atom_site_occupancy
Sn1 Sn 0.2500 0.2500 0.2500 1
Pd1 Pd 0.7500 0.7500 0.7500 1
Ho1 Ho 0.5000 0.5000 0.5000 1
Ca1 Ca 0.0000 0.0000 0.0000 1
```

Values from the calculation:
* DFT total energy: -0.170 hartree per atom



VASP calculation (PBE) on a relaxed structure of CaHoSn2Pd4.

```
data_CaHoSn2Pd4
_chemical_formula_sum 'Ca1 Ho1 Sn2 Pd4'
_symmetry_space_group_name_H-M 'P 1'
_symmetry_Int_Tables_number 1
_cell_length_a 4.7780
_cell_length_b 4.7780
_cell_length_c 8.3403
_cell_angle_alpha 73.36
_cell_angle_beta 73.36
_cell_angle_gamma 60.00
loop_
_symmetry_equiv_pos_as_xyz
'x,y,z'
loop_
_atom_site_label
_atom_site_type_symbol
_atom_site_fract_x
_atom_site_fract_y
_atom_site_fract_z
_atom_site_occupancy
Pd1 Pd 0.3793 0.3793 0.8622 1
Pd2 Pd 0.8734 0.8734 0.3799 1
Pd3 Pd 0.1266 0.1266 0.6201 1
Pd4 Pd 0.6207 0.6207 0.1378 1
Ho1 Ho 0.5000 0.5000 0.5000 1
Sn1 Sn 0.7487 0.7487 0.7540 1
Sn2 Sn 0.2513 0.2513 0.2460 1
Ca1 Ca 0.0000 0.0000 0.0000 1
```

Values from the calculation:
* DFT total energy: -0.192 hartree per atom



VASP calculation (PBE) on a relaxed structure of CaHoTlPd.

```
data_CaHoTlPd
_chemical_formula_sum 'Ca1 Ho1 Tl1 Pd1'
_symmetry_space_group_name_H-M 'P 1'
_symmetry_Int_Tables_number 1
_cell_length_a 5.1798
_cell_length_b 5.1798
_cell_length_c 5.1798
_cell_angle_alpha 60.00
_cell_angle_beta 60.00
_cell_angle_gamma 60.00
loop_
_symmetry_equiv_pos_as_xyz
'x,y,z'
loop_
_atom_site_label
_atom_site_type_symbol
_atom_site_fract_x
_atom_site_fract_y
_atom_site_fract_z
_atom_site_occupancy
Ho1 Ho 0.2500 0.2500 0.2500 1
Ca1 Ca 0.7500 0.7500 0.7500 1
Pd1 Pd 0.5000 0.5000 0.5000 1
Tl1 Tl 0.0000 0.0000 0.0000 1
```

Values from the calculation:
* DFT total energy: -0.149 hartree per atom



VASP calculation (PBE) on a relaxed structure of CaHoZnPd.

```
data_CaHoZnPd
_chemical_formula_sum 'Ca1 Ho1 Zn1 Pd1'
_symmetry_space_group_name_H-M 'P 1'
_symmetry_Int_Tables_number 1
_cell_length_a 5.0092
_cell_length_b 5.0092
_cell_length_c 5.0092
_cell_angle_alpha 60.00
_cell_angle_beta 60.00
_cell_angle_gamma 60.00
loop_
_symmetry_equiv_pos_as_xyz
'x,y,z'
loop_
_atom_site_label
_atom_site_type_symbol
_atom_site_fract_x
_atom_site_fract_y
_atom_site_fract_z
_atom_site_occupancy
Ho1 Ho 0.2500 0.2500 0.2500 1
Zn1 Zn 0.5000 0.5000 0.5000 1
Pd1 Pd 0.0000 0.0000 0.0000 1
Ca1 Ca 0.7500 0.7500 0.7500 1
```

Values from the calculation:
* polymorph energy (0 for the lowest one): 51.6 meV/atom



VASP calculation (PBE) on a relaxed structure of CaHoZnPd.

```
data_CaHoZnPd
_chemical_formula_sum 'Ca1 Ho1 Zn1 Pd1'
_symmetry_space_group_name_H-M 'P 1'
_symmetry_Int_Tables_number 1
_cell_length_a 3.5562
_cell_length_b 3.5562
_cell_length_c 7.2329
_cell_angle_alpha 90.00
_cell_angle_beta 90.00
_cell_angle_gamma 90.00
loop_
_symmetry_equiv_pos_as_xyz
'x,y,z'
loop_
_atom_site_label
_atom_site_type_symbol
_atom_site_fract_x
_atom_site_fract_y
_atom_site_fract_z
_atom_site_occupancy
Zn1 Zn 0.5000 0.5000 0.0830 1
Ca1 Ca 0.0000 0.0000 0.3620 1
Ho1 Ho 0.0000 0.0000 0.8433 1
Pd1 Pd 0.5000 0.5000 0.6397 1
```

Values from the calculation:
* polymorph energy (0 for the lowest one): 0.0 meV/atom



VASP calculation (PBE) on a relaxed structure of Ca2HoZn2Pd5.

```
data_Ca2HoZn2Pd5
_chemical_formula_sum 'Ca4 Ho2 Zn4 Pd10'
_symmetry_space_group_name_H-M 'P 1'
_symmetry_Int_Tables_number 1
_cell_length_a 3.7320
_cell_length_b 10.1449
_cell_length_c 10.1449
_cell_angle_alpha 90.00
_cell_angle_beta 90.00
_cell_angle_gamma 90.00
loop_
_symmetry_equiv_pos_as_xyz
'x,y,z'
loop_
_atom_site_label
_atom_site_type_symbol
_atom_site_fract_x
_atom_site_fract_y
_atom_site_fract_z
_atom_site_occupancy
Ca1 Ca 0.0000 0.1742 0.3258 1
Pd1 Pd 0.5000 0.5000 0.0000 1
Ca2 Ca 0.0000 0.3258 0.8258 1
Pd2 Pd 0.5000 0.4313 0.2897 1
Ho1 Ho 0.0000 0.0000 0.0000 1
Pd3 Pd 0.5000 0.2103 0.0687 1
Zn1 Zn 0.0000 0.8778 0.3778 1
Ho2 Ho 0.0000 0.5000 0.5000 1
Pd4 Pd 0.5000 0.0000 0.5000 1
Pd5 Pd 0.5000 0.7103 0.4313 1
Ca3 Ca 0.0000 0.8258 0.6742 1
Pd6 Pd 0.5000 0.9313 0.2103 1
Zn2 Zn 0.0000 0.6222 0.8778 1
Pd7 Pd 0.5000 0.0687 0.7897 1
Zn3 Zn 0.0000 0.1222 0.6222 1
Pd8 Pd 0.5000 0.5687 0.7103 1
Pd9 Pd 0.5000 0.7897 0.9313 1
Pd10 Pd 0.5000 0.2897 0.5687 1
Zn4 Zn 0.0000 0.3778 0.1222 1
Ca4 Ca 0.0000 0.6742 0.1742 1
```

Values from the calculation:
* DFT total energy: -0.162 hartree per atom



VASP calculation (PBE) on a relaxed structure of CaHo2ZnPd4.

```
data_CaHo2ZnPd4
_chemical_formula_sum 'Ca1 Ho2 Zn1 Pd4'
_symmetry_space_group_name_H-M 'P 1'
_symmetry_Int_Tables_number 1
_cell_length_a 4.8023
_cell_length_b 4.8023
_cell_length_c 8.4213
_cell_angle_alpha 73.43
_cell_angle_beta 73.43
_cell_angle_gamma 60.00
loop_
_symmetry_equiv_pos_as_xyz
'x,y,z'
loop_
_atom_site_label
_atom_site_type_symbol
_atom_site_fract_x
_atom_site_fract_y
_atom_site_fract_z
_atom_site_occupancy
Ca1 Ca 0.0000 0.0000 0.0000 1
Pd1 Pd 0.8739 0.8739 0.3783 1
Pd2 Pd 0.3850 0.3850 0.8451 1
Pd3 Pd 0.1261 0.1261 0.6217 1
Ho1 Ho 0.2434 0.2434 0.2699 1
Zn1 Zn 0.5000 0.5000 0.5000 1
Pd4 Pd 0.6150 0.6150 0.1549 1
Ho2 Ho 0.7566 0.7566 0.7301 1
```

Values from the calculation:
* DFT total energy: -0.180 hartree per atom